# 1
BaTb2MoN4 PBE optimized geometry; raw formation energy = -1.06 eV/atom; uncorrected energy = -7.97 eV per atom
1.0
1.7578 -6.2438 0.0000
1.7578 6.2438 0.0000
0.0000 0.0000 12.1657
Ba Tb Mo N
2 4 2 8
Direct
0.0792 0.9208 0.7500 Ba
0.9208 0.0792 0.2500 Ba
0.3713 0.6287 0.5387 Tb
0.3713 0.6287 0.9613 Tb
0.6287 0.3713 0.0387 Tb
0.6287 0.3713 0.4613 Tb
0.1828 0.8172 0.2500 Mo
0.8172 0.1828 0.7500 Mo
0.0000 0.0000 0.0000 N
0.0000 0.0000 0.5000 N
0.2564 0.7436 0.1136 N
0.2564 0.7436 0.3864 N
0.4001 0.5999 0.7500 N
0.5999 0.4001 0.2500 N
0.7436 0.2564 0.6136 N
0.7436 0.2564 0.8864 N


# 2
EuTmCdSi PBE optimized geometry; raw formation energy = -0.33 eV/atom; uncorrected energy = -5.60 eV per atom
1.0
0.0000 3.6614 3.6614
3.6614 0.0000 3.6614
3.6614 3.6614 0.0000
Eu Tm Cd Si
1 1 1 1
Direct
0.0000 0.0000 0.0000 Eu
0.5000 0.5000 0.5000 Tm
0.7500 0.7500 0.7500 Cd
0.2500 0.2500 0.2500 Si